(1)
LaYZn2 (PBE, relaxed); formation energy = -111 meV per atom; total magnetization = 0.0 μB/cell; distance to the lowest polymorph of the same formula = 0.217 eV per atom
1.0
-7.662 5.168 -2.028
-6.408 4.414 -5.384
-8.511 1.986 -3.627
Zn Y La
2 1 1
Direct
0.005 0.005 0.005
0.495 0.495 0.495
0.750 0.750 0.750
0.250 0.250 0.250

(2)
La4YZn (PBE, relaxed); formation energy = 341 meV per atom; total magnetization = 0.0 μB/cell; distance to the lowest polymorph of the same formula = 0.433 eV per atom
1.0
-3.597 -0.558 5.518
-4.012 4.921 1.843
-6.556 -0.758 -0.390
Y La Zn
1 4 1
Direct
0.750 0.750 0.750
0.375 0.375 0.876
0.375 0.375 0.375
0.375 0.876 0.375
0.876 0.375 0.375
0.000 0.000 0.000

(3)
LaY5Zn6 (PBE, relaxed); formation energy = -342 meV per atom; total magnetization = 0.0 μB/cell
1.0
4.833 -0.029 1.611
0.039 7.244 0.013
-0.005 -0.014 8.072
Zn Y La
6 5 1
Direct
0.829 0.258 0.342
0.171 0.742 0.658
0.500 0.258 0.000
0.829 0.742 0.342
0.171 0.258 0.658
0.500 0.742 0.000
0.000 0.500 0.000
0.664 0.500 0.672
0.332 0.000 0.337
0.668 0.000 0.663
0.336 0.500 0.328
0.000 0.000 0.000

(4)
LaY2Zn (PBE, relaxed); formation energy = -166 meV per atom; total magnetization = 0.0 μB/cell; distance to the lowest polymorph of the same formula = 0.000 eV per atom
1.0
3.608 0.000 0.000
0.000 3.608 0.000
0.000 0.000 8.912
Y Zn La
2 1 1
Direct
0.000 0.000 0.447
0.000 0.000 0.053
0.500 0.500 0.250
0.500 0.500 0.750

(5)
LaY2Zn (PBE, relaxed); formation energy = 43 meV per atom; total magnetization = 0.0 μB/cell; distance to the lowest polymorph of the same formula = 0.210 eV per atom
1.0
-4.337 2.536 -2.199
0.569 -2.985 -4.566
-2.238 -2.598 1.419
Zn Y La
1 2 1
Direct
0.500 0.000 0.500
0.500 0.500 0.000
0.000 0.000 0.000
0.000 0.500 0.500

(6)
La2YZn2 (PBE, relaxed); formation energy = -69 meV per atom; total magnetization = 0.0 μB/cell; distance to the lowest polymorph of the same formula = 0.149 eV per atom
1.0
8.784 0.000 0.000
0.000 8.784 0.000
0.000 0.000 3.557
La Zn Y
4 4 2
Direct
0.625 0.125 0.000
0.875 0.625 0.000
0.125 0.375 0.000
0.375 0.875 0.000
0.828 0.328 0.500
0.672 0.828 0.500
0.328 0.172 0.500
0.172 0.672 0.500
0.000 0.000 0.000
0.500 0.500 0.000